# HoEr2Sb, optimized geometry, DFT PBE
data_HoEr2Sb
_symmetry_space_group_name_H-M 'P 1'
_symmetry_Int_Tables_number 1
_symmetry_space_group_name_Hall 'P 1'
_cell_length_a 4.740
_cell_length_b 4.749
_cell_length_c 4.749
_cell_angle_alpha 90.00
_cell_angle_beta 90.00
_cell_angle_gamma 90.00
loop_
_atom_site_label
_atom_site_type_symbol
_atom_site_fract_x
_atom_site_fract_y
_atom_site_fract_z
Er1 Er 0.000 0.500 0.000
Er2 Er 0.000 0.000 0.500
Ho1 Ho 0.500 0.500 0.500
Sb1 Sb 0.500 0.000 0.000
# Formation energy from raw total energies in eV per atom: -0.453
# Total moment in μB/atom: 0.0000
# Energy above the most stable polymorph in this dataset in kJ/mol of formula units: 34
# Symmetry: No. 123